(i)
Dy4CoBr5 (PBE-GGA, optimized geometry); volume = 34.59 A^3/atom; total moment = 0.0 Bohr magnetons per cell
1.0
-0.864 2.400 2.926
-5.213 -5.759 3.183
8.364 -5.322 4.260
Br Dy Co
5 4 1
Direct
0.500 0.500 0.000
0.849 0.247 0.698
0.151 0.241 0.303
0.151 0.753 0.302
0.849 0.759 0.697
0.624 0.998 0.248
0.000 0.791 0.000
0.376 0.002 0.752
0.000 0.209 0.000
0.500 0.000 0.000

(ii)
Dy4CoBr5 (PBE-GGA, optimized geometry); volume = 29.86 A^3/atom; total moment = 0.0 Bohr magnetons per cell
1.0
-0.401 -2.648 -2.824
6.872 -4.004 2.780
-6.670 -2.771 6.229
Br Co Dy
5 1 4
Direct
0.500 0.500 0.000
0.832 0.662 0.665
0.177 0.841 0.354
0.823 0.159 0.646
0.168 0.338 0.335
0.500 0.000 0.000
0.999 0.792 0.999
0.645 0.078 0.290
0.001 0.208 0.001
0.355 0.922 0.710

Energetically preferred structure: (ii) | next structure: +25 meV per atom

(i)
Dy4Co2Br5 (PBE-GGA, optimized geometry); volume = 28.14 A^3/atom; total moment = 0.0 Bohr magnetons per cell
1.0
-3.361 -0.021 -2.078
-1.075 -7.809 1.817
-2.708 6.442 8.075
Dy Br Co
4 5 2
Direct
0.325 0.325 0.649
0.000 0.708 0.000
0.000 0.292 0.000
0.675 0.675 0.351
0.830 0.596 0.659
0.500 0.000 0.000
0.830 0.063 0.659
0.170 0.937 0.341
0.170 0.404 0.341
0.445 0.445 0.891
0.555 0.555 0.109

(ii)
Dy4Co2Br5 (PBE-GGA, optimized geometry); volume = 31.66 A^3/atom; total moment = 0.0 Bohr magnetons per cell
1.0
3.918 0.000 0.000
0.000 7.964 0.783
-1.959 -1.442 11.022
Co Br Dy
2 5 4
Direct
0.549 0.492 0.098
0.451 0.508 0.902
0.797 0.668 0.595
0.500 0.000 0.000
0.155 0.825 0.310
0.845 0.175 0.690
0.203 0.332 0.405
0.343 0.441 0.685
0.026 0.708 0.053
0.657 0.559 0.315
0.974 0.292 0.947

Energetically preferred structure: (ii) | next structure: +82 meV per atom